# LaFeCuAs2 PBE-GGA optimized geometry
# SG = P4/mmm, No. 123
# Energy of formation from the pure elements = 1354 meV per atom
# Mass density = 4331 kg/m3
# Electronic total energy = -4.003 eV/atom
# Total magnetization = 3.0 μB per formula unit
data_LaFeCuAs2
_chemical_formula_sum 'La1 Fe1 Cu1 As2'
_cell_length_a 5.609
_cell_length_b 4.974
_cell_length_c 5.609
_cell_angle_alpha 90.00
_cell_angle_beta 90.00
_cell_angle_gamma 90.00
_space_group_name_H-M_alt 'P 1'
_space_group_IT_number 1
loop_
_space_group_symop_operation_xyz
'x,y,z'
loop_
_atom_site_label
_atom_site_type_symbol
_atom_site_fract_x
_atom_site_fract_y
_atom_site_fract_z
As1 As 0.000 0.000 0.500
As2 As 0.500 0.000 0.000
Fe1 Fe 0.000 0.500 0.000
Cu1 Cu 0.500 0.500 0.500
La1 La 0.000 0.000 0.000

# HfTcAsBr2 PBE-GGA optimized geometry
# SG = P4/mmm, No. 123
# Mass density = 7037 kg/m3
# Electronic total energy = -4.909 eV/atom
# Formation energy (no corrections) = 754 meV per atom
# Total magnetization = 0.0 μB per formula unit
data_HfTcAsBr2
_chemical_formula_sum 'Hf1 Tc1 As1 Br2'
_cell_length_a 5.020
_cell_length_b 5.020
_cell_length_c 4.788
_cell_angle_alpha 90.00
_cell_angle_beta 90.00
_cell_angle_gamma 90.00
_space_group_name_H-M_alt 'P 1'
_space_group_IT_number 1
loop_
_space_group_symop_operation_xyz
'x,y,z'
loop_
_atom_site_label
_atom_site_type_symbol
_atom_site_fract_x
_atom_site_fract_y
_atom_site_fract_z
As1 As 0.000 0.000 0.500
Hf1 Hf 0.500 0.500 0.500
Tc1 Tc 0.000 0.000 0.000
Br1 Br 0.000 0.500 0.000
Br2 Br 0.500 0.000 0.000

# BaB12H12O6 PBE-GGA optimized geometry
# SG = Cmcm, No. 63
# Mass density = 1549 kg/m3
# Electronic total energy = -5.108 eV/atom
# Total magnetization = 0.5 μB per formula unit
data_BaB12H12O6
_chemical_formula_sum 'Ba2 B24 H24 O12'
_cell_length_a 7.855
_cell_length_b 7.855
_cell_length_c 13.242
_cell_angle_alpha 90.00
_cell_angle_beta 90.00
_cell_angle_gamma 100.18
_space_group_name_H-M_alt 'P 1'
_space_group_IT_number 1
loop_
_space_group_symop_operation_xyz
'x,y,z'
loop_
_atom_site_label
_atom_site_type_symbol
_atom_site_fract_x
_atom_site_fract_y
_atom_site_fract_z
Ba1 Ba 0.787 0.787 0.250
Ba2 Ba 0.213 0.213 0.750
B1 B 0.331 0.331 0.987
B2 B 0.669 0.669 0.013
B3 B 0.331 0.331 0.513
B4 B 0.669 0.669 0.487
B5 B 0.412 0.412 0.105
B6 B 0.588 0.588 0.895
B7 B 0.412 0.412 0.395
B8 B 0.588 0.588 0.605
B9 B 0.488 0.637 0.096
B10 B 0.363 0.512 0.904
B11 B 0.488 0.637 0.404
B12 B 0.363 0.512 0.596
B13 B 0.512 0.363 0.904
B14 B 0.637 0.488 0.096
B15 B 0.512 0.363 0.596
B16 B 0.637 0.488 0.404
B17 B 0.541 0.299 0.030
B18 B 0.701 0.459 0.970
B19 B 0.541 0.299 0.470
B20 B 0.701 0.459 0.530
B21 B 0.459 0.701 0.970
B22 B 0.299 0.541 0.030
B23 B 0.459 0.701 0.530
B24 B 0.299 0.541 0.470
H1 H 0.212 0.212 0.977
H2 H 0.788 0.788 0.023
H3 H 0.212 0.212 0.523
H4 H 0.788 0.788 0.477
H5 H 0.351 0.351 0.186
H6 H 0.649 0.649 0.814
H7 H 0.351 0.351 0.314
H8 H 0.649 0.649 0.686
H9 H 0.475 0.735 0.165
H10 H 0.265 0.525 0.835
H11 H 0.475 0.735 0.335
H12 H 0.265 0.525 0.665
H13 H 0.525 0.265 0.835
H14 H 0.735 0.475 0.165
H15 H 0.525 0.265 0.665
H16 H 0.735 0.475 0.335
H17 H 0.570 0.158 0.050
H18 H 0.842 0.430 0.950
H19 H 0.570 0.158 0.450
H20 H 0.842 0.430 0.550
H21 H 0.430 0.842 0.950
H22 H 0.158 0.570 0.050
H23 H 0.430 0.842 0.550
H24 H 0.158 0.570 0.450
O1 O 0.227 0.924 0.250
O2 O 0.076 0.773 0.750
O3 O 0.773 0.076 0.750
O4 O 0.924 0.227 0.250
O5 O 0.140 0.891 0.334
O6 O 0.109 0.860 0.666
O7 O 0.140 0.891 0.166
O8 O 0.109 0.860 0.834
O9 O 0.860 0.109 0.666
O10 O 0.891 0.140 0.334
O11 O 0.860 0.109 0.834
O12 O 0.891 0.140 0.166

# GaBiP2 PBE-GGA optimized geometry
# SG = Fm-3m, No. 225
# Energy of formation from the pure elements = 443 meV per atom
# Mass density = 6981 kg/m3
# Electronic total energy = -3.988 eV/atom
# Total magnetization = 0.0 μB per formula unit
data_GaBiP2
_chemical_formula_sum 'Ga1 Bi1 P2'
_cell_length_a 4.857
_cell_length_b 4.857
_cell_length_c 4.857
_cell_angle_alpha 60.00
_cell_angle_beta 60.00
_cell_angle_gamma 60.00
_space_group_name_H-M_alt 'P 1'
_space_group_IT_number 1
loop_
_space_group_symop_operation_xyz
'x,y,z'
loop_
_atom_site_label
_atom_site_type_symbol
_atom_site_fract_x
_atom_site_fract_y
_atom_site_fract_z
P1 P 0.250 0.250 0.250
P2 P 0.750 0.750 0.750
Bi1 Bi 0.500 0.500 0.500
Ga1 Ga 0.000 0.000 0.000

# FeReB2 PBE-GGA optimized geometry
# SG = I-42d, No. 122
# Energy of formation from the pure elements = 794 meV per atom
# Mass density = 8751 kg/m3
# Electronic total energy = -7.773 eV/atom
# Total magnetization = 2.2 μB per formula unit
data_FeReB2
_chemical_formula_sum 'Fe2 Re2 B4'
_cell_length_a 4.654
_cell_length_b 4.654
_cell_length_c 5.673
_cell_angle_alpha 65.78
_cell_angle_beta 65.78
_cell_angle_gamma 90.00
_space_group_name_H-M_alt 'P 1'
_space_group_IT_number 1
loop_
_space_group_symop_operation_xyz
'x,y,z'
loop_
_atom_site_label
_atom_site_type_symbol
_atom_site_fract_x
_atom_site_fract_y
_atom_site_fract_z
Re1 Re 0.000 0.000 0.000
Re2 Re 0.750 0.250 0.500
B1 B 0.609 0.125 0.250
B2 B 0.141 0.625 0.250
B3 B 0.375 0.391 0.750
B4 B 0.875 0.859 0.750
Fe1 Fe 0.500 0.500 0.000
Fe2 Fe 0.250 0.750 0.500

# Ni2P PBE-GGA optimized geometry
# SG = C2/m, No. 12
# Energy of formation from the pure elements = -283 meV per atom
# Mass density = 7224 kg/m3
# Electronic total energy = -5.940 eV/atom
# Total magnetization = 0.0 μB per formula unit
data_Ni2P
_chemical_formula_sum 'Ni4 P2'
_cell_length_a 4.761
_cell_length_b 4.761
_cell_length_c 5.926
_cell_angle_alpha 67.55
_cell_angle_beta 67.55
_cell_angle_gamma 33.63
_space_group_name_H-M_alt 'P 1'
_space_group_IT_number 1
loop_
_space_group_symop_operation_xyz
'x,y,z'
loop_
_atom_site_label
_atom_site_type_symbol
_atom_site_fract_x
_atom_site_fract_y
_atom_site_fract_z
Ni1 Ni 0.430 0.430 0.851
Ni2 Ni 0.139 0.139 0.469
Ni3 Ni 0.861 0.861 0.531
Ni4 Ni 0.570 0.570 0.149
P1 P 0.824 0.824 0.186
P2 P 0.176 0.176 0.814

# Ni3IrRh12 PBE-GGA optimized geometry
# SG = P4/mmm, No. 123
# Energy of formation from the pure elements = 31 meV per atom
# Mass density = 12081 kg/m3
# Electronic total energy = -7.120 eV/atom
# Total magnetization = 5.5 μB per formula unit
data_Ni3IrRh12
_chemical_formula_sum 'Ni3 Ir1 Rh12'
_cell_length_a 3.811
_cell_length_b 3.811
_cell_length_c 15.171
_cell_angle_alpha 90.00
_cell_angle_beta 90.00
_cell_angle_gamma 90.00
_space_group_name_H-M_alt 'P 1'
_space_group_IT_number 1
loop_
_space_group_symop_operation_xyz
'x,y,z'
loop_
_atom_site_label
_atom_site_type_symbol
_atom_site_fract_x
_atom_site_fract_y
_atom_site_fract_z
Ni1 Ni 0.000 0.000 0.253
Ni2 Ni 0.000 0.000 0.500
Ni3 Ni 0.000 0.000 0.747
Ir1 Ir 0.000 0.000 0.000
Rh1 Rh 0.500 0.500 0.000
Rh2 Rh 0.500 0.500 0.251
Rh3 Rh 0.500 0.500 0.500
Rh4 Rh 0.500 0.500 0.749
Rh5 Rh 0.500 0.000 0.127
Rh6 Rh 0.500 0.000 0.376
Rh7 Rh 0.500 0.000 0.624
Rh8 Rh 0.500 0.000 0.873
Rh9 Rh 0.000 0.500 0.127
Rh10 Rh 0.000 0.500 0.376
Rh11 Rh 0.000 0.500 0.624
Rh12 Rh 0.000 0.500 0.873

# Ag3PdO PBE-GGA optimized geometry
# SG = Pm-3m, No. 221
# Mass density = 8677 kg/m3
# Electronic total energy = -3.592 eV/atom
# Formation energy (no corrections) = 149 meV per atom
# Total magnetization = 0.0 μB per formula unit
data_Ag3PdO
_chemical_formula_sum 'Ag3 Pd1 O1'
_cell_length_a 4.403
_cell_length_b 4.403
_cell_length_c 4.403
_cell_angle_alpha 90.00
_cell_angle_beta 90.00
_cell_angle_gamma 90.00
_space_group_name_H-M_alt 'P 1'
_space_group_IT_number 1
loop_
_space_group_symop_operation_xyz
'x,y,z'
loop_
_atom_site_label
_atom_site_type_symbol
_atom_site_fract_x
_atom_site_fract_y
_atom_site_fract_z
O1 O 0.000 0.000 0.000
Pd1 Pd 0.500 0.500 0.500
Ag1 Ag 0.000 0.500 0.000
Ag2 Ag 0.000 0.000 0.500
Ag3 Ag 0.500 0.000 0.000

# Fe2AsP PBE-GGA optimized geometry
# SG = Cmm2, No. 35
# Energy of formation from the pure elements = 111 meV per atom
# Mass density = 5789 kg/m3
# Electronic total energy = -6.635 eV/atom
# Total magnetization = 5.0 μB per formula unit
data_Fe2AsP
_chemical_formula_sum 'Fe2 As1 P1'
_cell_length_a 2.644
_cell_length_b 2.644
_cell_length_c 9.145
_cell_angle_alpha 90.00
_cell_angle_beta 90.00
_cell_angle_gamma 102.56
_space_group_name_H-M_alt 'P 1'
_space_group_IT_number 1
loop_
_space_group_symop_operation_xyz
'x,y,z'
loop_
_atom_site_label
_atom_site_type_symbol
_atom_site_fract_x
_atom_site_fract_y
_atom_site_fract_z
As1 As 0.500 0.500 0.819
Fe1 Fe 0.000 0.000 0.029
Fe2 Fe 0.500 0.500 0.236
P1 P 0.000 0.000 0.417

# Zr3HgC PBE-GGA optimized geometry
# SG = P2_1/m, No. 11
# Energy of formation from the pure elements = -56 meV per atom
# Mass density = 7785 kg/m3
# Electronic total energy = -7.090 eV/atom
# Total magnetization = 0.0 μB per formula unit
data_Zr3HgC
_chemical_formula_sum 'Zr12 Hg4 C4'
_cell_length_a 24.535
_cell_length_b 7.365
_cell_length_c 8.801
_cell_angle_alpha 90.00
_cell_angle_beta 164.88
_cell_angle_gamma 90.00
_space_group_name_H-M_alt 'P 1'
_space_group_IT_number 1
loop_
_space_group_symop_operation_xyz
'x,y,z'
loop_
_atom_site_label
_atom_site_type_symbol
_atom_site_fract_x
_atom_site_fract_y
_atom_site_fract_z
C1 C 0.063 0.250 0.562
C2 C 0.937 0.750 0.438
C3 C 0.437 0.750 0.938
C4 C 0.563 0.250 0.062
Hg1 Hg 0.483 0.750 0.483
Hg2 Hg 0.517 0.250 0.517
Hg3 Hg 0.017 0.250 0.017
Hg4 Hg 0.983 0.750 0.983
Zr1 Zr 0.138 0.017 0.637
Zr2 Zr 0.862 0.983 0.363
Zr3 Zr 0.362 0.517 0.863
Zr4 Zr 0.638 0.483 0.137
Zr5 Zr 0.235 0.250 0.237
Zr6 Zr 0.765 0.750 0.763
Zr7 Zr 0.265 0.750 0.263
Zr8 Zr 0.735 0.250 0.737
Zr9 Zr 0.362 0.983 0.863
Zr10 Zr 0.638 0.017 0.137
Zr11 Zr 0.138 0.483 0.637
Zr12 Zr 0.862 0.517 0.363

# AcPmMgAl PBE-GGA optimized geometry
# SG = F-43m, No. 216
# Energy of formation from the pure elements = -180 meV per atom
# Mass density = 5924 kg/m3
# Electronic total energy = -3.729 eV/atom
# Total magnetization = 0.0 μB per formula unit
data_AcPmMgAl
_chemical_formula_sum 'Ac1 Pm1 Mg1 Al1'
_cell_length_a 5.515
_cell_length_b 5.515
_cell_length_c 5.515
_cell_angle_alpha 60.00
_cell_angle_beta 60.00
_cell_angle_gamma 60.00
_space_group_name_H-M_alt 'P 1'
_space_group_IT_number 1
loop_
_space_group_symop_operation_xyz
'x,y,z'
loop_
_atom_site_label
_atom_site_type_symbol
_atom_site_fract_x
_atom_site_fract_y
_atom_site_fract_z
Mg1 Mg 0.000 0.000 0.000
Ac1 Ac 0.750 0.750 0.750
Al1 Al 0.500 0.500 0.500
Pm1 Pm 0.250 0.250 0.250

# SmY4Ag PBE-GGA optimized geometry
# SG = P4/mmm, No. 123
# Energy of formation from the pure elements = -82 meV per atom
# Mass density = 5653 kg/m3
# Electronic total energy = -5.653 eV/atom
# Total magnetization = 0.0 μB per formula unit
data_SmY4Ag
_chemical_formula_sum 'Sm1 Y4 Ag1'
_cell_length_a 3.589
_cell_length_b 3.589
_cell_length_c 13.996
_cell_angle_alpha 90.00
_cell_angle_beta 90.00
_cell_angle_gamma 90.00
_space_group_name_H-M_alt 'P 1'
_space_group_IT_number 1
loop_
_space_group_symop_operation_xyz
'x,y,z'
loop_
_atom_site_label
_atom_site_type_symbol
_atom_site_fract_x
_atom_site_fract_y
_atom_site_fract_z
Sm1 Sm 0.000 0.000 0.000
Y1 Y 0.500 0.500 0.819
Y2 Y 0.500 0.500 0.181
Y3 Y 0.000 0.000 0.635
Y4 Y 0.000 0.000 0.365
Ag1 Ag 0.500 0.500 0.500